[1]
# Tb6Ru2Au

A relaxed Tb6Ru2Au crystal (PBE, the Alexandria database).

```
Tb6Ru2Au
1.0
-4.685 4.721 5.155
4.685 -4.721 5.155
4.685 4.721 -5.155
Tb Ru Au
12 4 2
direct
0.047 0.242 0.805 Tb
0.181 0.280 0.461 Tb
0.181 0.720 0.901 Tb
0.330 0.017 0.687 Tb
0.330 0.643 0.313 Tb
0.437 0.242 0.195 Tb
0.563 0.758 0.805 Tb
0.670 0.357 0.687 Tb
0.670 0.983 0.313 Tb
0.819 0.280 0.099 Tb
0.819 0.720 0.539 Tb
0.953 0.758 0.195 Tb
0.126 0.626 0.500 Ru
0.325 0.000 0.325 Ru
0.675 0.000 0.675 Ru
0.874 0.374 0.500 Ru
0.000 0.000 0.000 Au
0.500 0.500 0.000 Au
```

## Properties
DFT formation energy: -419 meV per atom
total DFT energy (no corrections): -5.931 eV/atom
Fermi-level density of states: 15.47 states/eV per cell



[2]
# TbNd5Dy2

A relaxed TbNd5Dy2 crystal (PBE, the Alexandria database).

```
TbNd5Dy2
1.0
7.335 -6.075 0.000
7.335 6.075 0.000
-2.746 0.000 6.146
Tb Nd Dy
2 10 4
direct
0.009 0.991 0.750 Tb
0.991 0.009 0.250 Tb
0.133 0.614 0.616 Nd
0.227 0.250 0.712 Nd
0.250 0.227 0.212 Nd
0.260 0.740 0.250 Nd
0.386 0.867 0.884 Nd
0.614 0.133 0.116 Nd
0.740 0.260 0.750 Nd
0.750 0.773 0.788 Nd
0.773 0.750 0.288 Nd
0.867 0.386 0.384 Nd
0.000 0.500 0.000 Dy
0.500 0.000 0.500 Dy
0.500 0.500 0.000 Dy
0.500 0.500 0.500 Dy
```

## Properties
DFT formation energy: 209 meV per atom
total DFT energy (no corrections): -4.501 eV/atom
energy above the most stable polymorph in this dataset: 0.193 eV per atom
Fermi-level density of states: 26.71 states/eV per cell



[3]
# PuGa2Ag

A relaxed PuGa2Ag crystal (PBE, the Alexandria database).

```
PuGa2Ag
1.0
0.000 3.416 3.416
3.416 0.000 3.416
3.416 3.416 0.000
Pu Ga Ag
1 2 1
direct
0.000 0.000 0.000 Pu
0.250 0.250 0.250 Ga
0.750 0.750 0.750 Ga
0.500 0.500 0.500 Ag
```

## Properties
DFT formation energy: -201 meV per atom
total DFT energy (no corrections): -6.010 eV/atom
energy above the most stable polymorph in this dataset: 0.083 eV per atom
Fermi-level density of states: 8.45 states/eV per cell



[4]
# ZrNb2TlH

A relaxed ZrNb2TlH crystal (PBE, the Alexandria database).

```
ZrNb2TlH
1.0
4.197 0.000 0.000
0.000 4.197 0.000
0.000 0.000 4.683
Zr Nb Tl H
1 2 1 1
direct
0.000 0.000 0.000 Zr
0.000 0.500 0.500 Nb
0.500 0.000 0.500 Nb
0.500 0.500 0.000 Tl
0.000 0.000 0.500 H
```

## Properties
total DFT energy (no corrections): -6.939 eV/atom
Fermi-level density of states: 3.59 states/eV per cell